Entry A
DFT (PBE-GGA) results for an optimized crystal structure of MoRh2W.

Lattice parameters (Å, degrees): 5.500 7.865 2.759 90.00 90.00 90.00
Space group Cmmm (No. 65)
Asymmetric unit:
Mo  0.000  0.000  0.000
Rh  0.250  0.250  0.500
W  0.000  0.500  0.000

Size of the total moment: 0.00 μB/atom
DOS at the Fermi energy: 0.8242 states/eV/atom
Calculated volume: 119.4 Å³/cell
Crystal system: orthorhombic


Entry B
DFT (PBE-GGA) results for an optimized crystal structure of MoRh2W.

Lattice parameters (Å, degrees): 6.241 6.241 6.241 90.00 90.00 90.00
Space group F-43m (No. 216)
Asymmetric unit:
Mo  0.000  0.000  0.000
Rh  0.000  0.000  0.500
Rh  0.250  0.250  0.750
W  0.250  0.250  0.250

Size of the total moment: 0.00 μB/atom
DOS at the Fermi energy: 1.2559 states/eV/atom
Calculated volume: 243.1 Å³/cell
Crystal system: cubic


Entry C
DFT (PBE-GGA) results for an optimized crystal structure of MoRh2W.

Lattice parameters (Å, degrees): 3.941 3.941 7.738 90.00 90.00 90.00
Space group I-4m2 (No. 119)
Asymmetric unit:
Mo  0.000  0.000  0.000
Rh  0.000  0.000  0.500
Rh  0.000  0.500  0.250
W  0.000  0.500  0.750

Size of the total moment: 0.00 μB/atom
DOS at the Fermi energy: 1.1744 states/eV/atom
Calculated volume: 120.2 Å³/cell
Crystal system: tetragonal


Entry D
DFT (PBE-GGA) results for an optimized crystal structure of MoRh2W.

Lattice parameters (Å, degrees): 3.351 3.351 5.460 90.00 90.00 90.00
Space group P4/mmm (No. 123)
Asymmetric unit:
Mo  0.000  0.000  0.000
Rh  0.500  0.500  0.251
W  0.000  0.000  0.500

Size of the total moment: 0.00 μB/atom
DOS at the Fermi energy: 1.1254 states/eV/atom
Calculated volume: 61.3 Å³/cell
Crystal system: tetragonal


Of the structures shown above, entry A is the most stable.